Pr2CdHg4 | PBE | relaxed

Structure (CIF):
```
data_Pr2CdHg4
_chemical_formula_sum 'Pr6 Cd3 Hg12'
_space_group_name_H-M_alt 'R -3 m'
_space_group_IT_number 166
_space_group_name_Hall '-R 3 2"'
_cell_length_a 5.1496
_cell_length_b 5.1496
_cell_length_c 25.7748
_cell_angle_alpha 90.00
_cell_angle_beta 90.00
_cell_angle_gamma 120.00
loop_
_atom_site_label
_atom_site_type_symbol
_atom_site_fract_x
_atom_site_fract_y
_atom_site_fract_z
_atom_site_occupancy
Pr1 Pr 0.0000 0.0000 0.2476 1
Cd1 Cd 0.0000 0.0000 0.5000 1
Hg1 Hg 0.0000 0.0000 0.1220 1
Hg2 Hg 0.0000 0.0000 0.3707 1
```

Output
Crystal system: trigonal
Formation enthalpy at 0 K: -0.33 eV/atom
ρ: 10.070 g/cm³
Offset from the most stable computed form: 0.000 eV per atom



La2Pm5Sn5 | PBE | relaxed

Structure (CIF):
```
data_La2Pm5Sn5
_chemical_formula_sum 'La4 Pm10 Sn10'
_space_group_name_H-M_alt 'C 1 2/m 1'
_space_group_IT_number 12
_cell_length_a 14.6467
_cell_length_b 4.4897
_cell_length_c 13.2843
_cell_angle_alpha 90.00
_cell_angle_beta 106.09
_cell_angle_gamma 90.00
loop_
_space_group_symop_operation_xyz
'x,y,z'
'-x,-y,-z'
'-x,y,-z'
'x,-y,z'
'x+1/2,y+1/2,z'
'-x+1/2,-y+1/2,-z'
'-x+1/2,y+1/2,-z'
'x+1/2,-y+1/2,z'
loop_
_atom_site_label
_atom_site_type_symbol
_atom_site_fract_x
_atom_site_fract_y
_atom_site_fract_z
_atom_site_occupancy
La1 La 0.0463 0.0000 0.2803 1
Pm1 Pm 0.0000 0.5000 0.0000 1
Pm2 Pm 0.1576 0.5000 0.5426 1
Pm3 Pm 0.2325 0.5000 0.8496 1
Sn1 Sn 0.0000 0.0000 0.5000 1
Sn2 Sn 0.1197 0.0000 0.9320 1
Sn3 Sn 0.2105 0.5000 0.3036 1
```

Output
Crystal system: monoclinic
Formation enthalpy at 0 K: -0.55 eV/atom
ρ: 6.316 g/cm³



Ca3LaPd4 | PBE | relaxed

Structure (CIF):
```
data_Ca3LaPd4
_chemical_formula_sum 'Ca3 La1 Pd4'
_space_group_name_H-M_alt 'P 4/m m m'
_space_group_IT_number 123
_space_group_name_Hall '-P 4 2'
_cell_length_a 3.5803
_cell_length_b 3.5803
_cell_length_c 14.2703
_cell_angle_alpha 90.00
_cell_angle_beta 90.00
_cell_angle_gamma 90.00
loop_
_atom_site_label
_atom_site_type_symbol
_atom_site_fract_x
_atom_site_fract_y
_atom_site_fract_z
_atom_site_occupancy
Ca1 Ca 0.0000 0.0000 0.0000 1
Ca2 Ca 0.0000 0.0000 0.2429 1
La1 La 0.0000 0.0000 0.5000 1
Pd1 Pd 0.5000 0.5000 0.1226 1
Pd2 Pd 0.5000 0.5000 0.3733 1
```

Output
Crystal system: tetragonal
Formation enthalpy at 0 K: -0.71 eV/atom
ρ: 6.217 g/cm³



BaSc2Te4 | PBE | relaxed

Structure (CIF):
```
data_BaSc2Te4
_chemical_formula_sum 'Ba4 Sc8 Te16'
_space_group_name_H-M_alt 'P n m a'
_space_group_IT_number 62
_cell_length_a 13.4554
_cell_length_b 4.3210
_cell_length_c 15.6973
_cell_angle_alpha 90.00
_cell_angle_beta 90.00
_cell_angle_gamma 90.00
loop_
_space_group_symop_operation_xyz
'x,y,z'
'-x,-y,-z'
'-x+1/2,-y,z+1/2'
'x+1/2,y,-z+1/2'
'x+1/2,-y+1/2,-z+1/2'
'-x+1/2,y+1/2,z+1/2'
'-x,y+1/2,-z'
'x,-y+1/2,z'
loop_
_atom_site_label
_atom_site_type_symbol
_atom_site_fract_x
_atom_site_fract_y
_atom_site_fract_z
_atom_site_occupancy
Ba1 Ba 0.2378 0.2500 0.1718 1
Sc1 Sc 0.0563 0.2500 0.3900 1
Sc2 Sc 0.0801 0.2500 0.9035 1
Te1 Te 0.0283 0.7500 0.7847 1
Te2 Te 0.0870 0.2500 0.5737 1
Te3 Te 0.1216 0.7500 0.0259 1
Te4 Te 0.2032 0.7500 0.3506 1
```

Output
Formation energy without anion corrections: -1402.1 meV per atom
Crystal system: orthorhombic
ρ: 5.368 g/cm³
Offset from the most stable computed form: 0.000 eV per atom